1.
Entry from the Alexandria database: Fe5Re at its PBEsol-relaxed geometry (meta-GGA SCAN).

a b c (Å): 3.9499 2.5152 12.9705
angles (deg): 90.00 90.00 90.00
Space group Amm2 (No. 38)
One atom of each set of equivalent atoms:
Fe 0.0000 0.0000 0.0000 (multiplicity 2)
Fe 0.0000 0.0000 0.3220 (multiplicity 2)
Fe 0.0000 0.0000 0.6609 (multiplicity 2)
Fe 0.5000 0.0000 0.1117 (multiplicity 2)
Fe 0.5000 0.0000 0.7667 (multiplicity 2)
Re 0.5000 0.0000 0.4371 (multiplicity 2)

Values from the calculation:
ΔE_f (eV per formula unit): 1.51



2.
Entry from the Alexandria database: KLiAlF2 at its PBEsol-relaxed geometry (meta-GGA SCAN).

a b c (Å): 4.2156 4.2156 4.9435
angles (deg): 90.00 90.00 90.00
Space group P4/mmm (No. 123)
One atom of each set of equivalent atoms:
K 0.0000 0.0000 0.0000 (multiplicity 1)
Li 0.0000 0.0000 0.5000 (multiplicity 1)
Al 0.5000 0.5000 0.0000 (multiplicity 1)
F 0.0000 0.5000 0.5000 (multiplicity 2)

Values from the calculation:
Formation energy without anion corrections (meV/atom): -1154



3.
Entry from the Alexandria database: HfZnSe2O at its PBEsol-relaxed geometry (meta-GGA SCAN).

a b c (Å): 5.0316 5.0316 3.8429
angles (deg): 90.00 90.00 90.00
Space group P4/mmm (No. 123)
One atom of each set of equivalent atoms:
Hf 0.0000 0.0000 0.0000 (multiplicity 1)
Zn 0.5000 0.5000 0.0000 (multiplicity 1)
Se 0.0000 0.5000 0.5000 (multiplicity 2)
O 0.0000 0.0000 0.5000 (multiplicity 1)

Values from the calculation:
Formation energy without anion corrections (meV/atom): -372



4.
Entry from the Alexandria database: ZrMo2Cl at its PBEsol-relaxed geometry (meta-GGA SCAN).

a b c (Å): 3.1140 3.1140 7.5419
angles (deg): 90.00 90.00 90.00
Space group P4mm (No. 99)
One atom of each set of equivalent atoms:
Zr 0.0000 0.0000 0.0000 (multiplicity 1)
Mo 0.0000 0.0000 0.5784 (multiplicity 1)
Mo 0.5000 0.5000 0.7531 (multiplicity 1)
Cl 0.5000 0.5000 0.2416 (multiplicity 1)

Values from the calculation:
Formation energy without anion corrections (meV/atom): -157



5.
Entry from the Alexandria database: Mg2IrOs at its PBEsol-relaxed geometry (meta-GGA SCAN).

a b c (Å): 2.8431 4.5600 4.6379
angles (deg): 90.00 90.00 90.00
Space group Pmm2 (No. 25)
One atom of each set of equivalent atoms:
Mg 0.0000 0.0000 0.0000 (multiplicity 1)
Mg 0.5000 0.5000 0.1442 (multiplicity 1)
Ir 0.5000 0.0000 0.5052 (multiplicity 1)
Os 0.0000 0.5000 0.6392 (multiplicity 1)

Values from the calculation:
ΔE_f (eV per formula unit): -0.20



6.
Entry from the Alexandria database: Ni2PdW at its PBEsol-relaxed geometry (meta-GGA SCAN).

a b c (Å): 5.8607 5.8607 5.8607
angles (deg): 90.00 90.00 90.00
Space group Fm-3m (No. 225)
One atom of each set of equivalent atoms:
Ni 0.2500 0.2500 0.2500 (multiplicity 8)
Pd 0.0000 0.0000 0.0000 (multiplicity 4)
W 0.0000 0.0000 0.5000 (multiplicity 4)

Values from the calculation:
ΔE_f (eV per formula unit): 0.49



7.
Entry from the Alexandria database: Zr2InBi2 at its PBEsol-relaxed geometry (meta-GGA SCAN).

a b c (Å): 7.8912 7.8912 3.9521
angles (deg): 90.00 90.00 90.00
Space group P4/mbm (No. 127)
One atom of each set of equivalent atoms:
Zr 0.1459 0.3541 0.0000 (multiplicity 4)
In 0.0000 0.0000 0.0000 (multiplicity 2)
Bi 0.1533 0.6533 0.5000 (multiplicity 4)

Values from the calculation:
ΔE_f (eV per formula unit): -1.77



8.
Entry from the Alexandria database: YSb2TeBr at its PBEsol-relaxed geometry (meta-GGA SCAN).

a b c (Å): 5.4062 5.4062 5.3247
angles (deg): 90.00 90.00 90.00
Space group P4/mmm (No. 123)
One atom of each set of equivalent atoms:
Y 0.0000 0.0000 0.0000 (multiplicity 1)
Sb 0.0000 0.5000 0.5000 (multiplicity 2)
Te 0.5000 0.5000 0.0000 (multiplicity 1)
Br 0.5000 0.5000 0.5000 (multiplicity 1)

Values from the calculation:
Formation energy without anion corrections (meV/atom): 393



9.
Entry from the Alexandria database: CdSi3Cl at its PBEsol-relaxed geometry (meta-GGA SCAN).

a b c (Å): 5.0249 5.0249 5.0249
angles (deg): 90.00 90.00 90.00
Space group Pm-3m (No. 221)
One atom of each set of equivalent atoms:
Cd 0.0000 0.0000 0.0000 (multiplicity 1)
Si 0.0000 0.0000 0.5000 (multiplicity 3)
Cl 0.5000 0.5000 0.5000 (multiplicity 1)

Values from the calculation:
Formation energy without anion corrections (meV/atom): 1329



10.
Entry from the Alexandria database: CsCu4Se3 at its PBEsol-relaxed geometry (meta-GGA SCAN).

a b c (Å): 3.9827 3.9827 10.1273
angles (deg): 90.00 90.00 90.00
Space group P4/mmm (No. 123)
One atom of each set of equivalent atoms:
Cs 0.0000 0.0000 0.0000 (multiplicity 1)
Cu 0.0000 0.5000 0.3485 (multiplicity 4)
Se 0.0000 0.0000 0.5000 (multiplicity 1)
Se 0.5000 0.5000 0.2168 (multiplicity 2)

Values from the calculation:
Formation energy without anion corrections (meV/atom): -423



11.
Entry from the Alexandria database: CsGeB3O7 at its PBEsol-relaxed geometry (meta-GGA SCAN).

a b c (Å): 9.5631 9.8077 7.0288
angles (deg): 90.00 90.00 90.00
Space group Pna2_1 (No. 33)
One atom of each set of equivalent atoms:
Cs 0.0010 0.1729 0.0000 (multiplicity 4)
Ge 0.2302 0.6091 0.9855 (multiplicity 4)
B 0.0382 0.2812 0.4513 (multiplicity 4)
B 0.1521 0.4336 0.6906 (multiplicity 4)
B 0.1742 0.4896 0.3596 (multiplicity 4)
O 0.0719 0.3244 0.6464 (multiplicity 4)
O 0.0914 0.3833 0.3110 (multiplicity 4)
O 0.1002 0.1466 0.4122 (multiplicity 4)
O 0.1129 0.7378 0.9277 (multiplicity 4)
O 0.1874 0.4504 0.8794 (multiplicity 4)
O 0.2017 0.5217 0.5510 (multiplicity 4)
O 0.2388 0.5765 0.2334 (multiplicity 4)

Values from the calculation:
Formation energy without anion corrections (meV/atom): -2424



12.
Entry from the Alexandria database: ZrAg3 at its PBEsol-relaxed geometry (meta-GGA SCAN).

a b c (Å): 9.7022 2.8975 5.0991
angles (deg): 90.00 98.90 90.00
Space group C2/m (No. 12)
One atom of each set of equivalent atoms:
Zr 0.0000 0.0000 0.0000 (multiplicity 2)
Ag 0.0000 0.5000 0.5000 (multiplicity 2)
Ag 0.2468 0.0000 0.7445 (multiplicity 4)

Values from the calculation:
ΔE_f (eV per formula unit): 0.04



no.,D(E_F) (states/eV/f.u.),VASP energy (eV/atom)
1,4.28,-26.71
2,1.36,-6.26
3,2.23,-24.89
4,2.25,-27.27
5,2.11,-38.28
6,5.24,-33.58
7,2.92,-50.74
8,3.99,-31.42
9,3.66,-12.36
10,4.14,-20.28
11,0.00,-12.66
12,1.65,-31.19